1.
VASP calculation (PBE-GGA) on a relaxed LaPm3Ho3 crystal.

**Density of states at the Fermi level**: 65.648 states/eV/cell
**Formation energy from the elements**: 196 meV/atom
**Magnetization**: 0.00 μB/f.u.
**Energy relative to the lowest polymorph listed for this composition**: 170 meV per atom

a b c (Å): 8.7393 8.7393 22.1976
angles (deg): 90.00 90.00 120.00
Last column: nearest neighbours and their distance in Å.
Space group R-3 (No. 148, hexagonal axes)
Inequivalent atoms, fractional coordinates:
1 La 0.0000 0.0000 0.1533 (multiplicity 6)  6 Ho 3.59-3.85, 6 Pm 3.71-3.81
2 Pm 0.0510 0.6030 0.3801 (multiplicity 18)  4 Ho 3.34-3.65, 2 Pm 3.64, 1 La 3.71
3 Ho 0.0050 0.7749 0.5588 (multiplicity 18)  4 Ho 3.28-3.45, 4 Pm 3.34-3.65, 1 La 3.59

---

2.
VASP calculation (PBE-GGA) on a relaxed BaCaCd10 crystal.

**Density of states at the Fermi level**: 7.103 states/eV/cell
**Formation energy from the elements**: -193 meV/atom
**Magnetization**: 0.00 μB/f.u.

a b c (Å): 4.9402 6.0115 10.5378
angles (deg): 90.00 90.00 90.00
Last column: nearest neighbours and their distance in Å.
Space group Pmmm (No. 47)
Inequivalent atoms, fractional coordinates:
1 Ba 0.0000 0.0000 0.0000 (multiplicity 1)  18 Cd 3.55-3.93
2 Ca 0.0000 0.5000 0.5000 (multiplicity 1)  6 Cd 3.37-3.43
3 Cd 0.0000 0.0000 0.3434 (multiplicity 2)  7 Cd 2.97-3.30
4 Cd 0.0000 0.5000 0.1799 (multiplicity 2)  6 Cd 2.99-3.11
5 Cd 0.5000 0.0000 0.5000 (multiplicity 1)  8 Cd 2.97-3.01
6 Cd 0.5000 0.2504 0.2529 (multiplicity 4)  8 Cd 2.99-3.06
7 Cd 0.5000 0.5000 0.0000 (multiplicity 1)  8 Cd 3.06-3.11

---

3.
VASP calculation (PBE-GGA) on a relaxed HfTi5In2 crystal.

**Density of states at the Fermi level**: 21.675 states/eV/cell
**Formation energy from the elements**: -54 meV/atom
**Magnetization**: 0.00 μB/f.u.

a b c (Å): 4.5761 4.5761 14.4865
angles (deg): 90.00 90.00 90.00
Last column: nearest neighbours and their distance in Å.
Space group I4/mmm (No. 139)
Inequivalent atoms, fractional coordinates:
1 Hf 0.0000 0.0000 0.0000 (multiplicity 2)  8 Ti 2.88
2 Ti 0.0000 0.0000 0.5000 (multiplicity 2)  8 Ti 2.88
3 Ti 0.0000 0.5000 0.1202 (multiplicity 8)  2 Hf 2.88, 2 Ti 2.88, 4 In 2.96
4 In 0.0000 0.0000 0.2500 (multiplicity 4)  8 Ti 2.96, 4 In 3.24

---

4.
VASP calculation (PBE-GGA) on a relaxed K3CdBr crystal.

**Formation energy (no corrections)**: -569.3 meV/atom
**Density of states at the Fermi level**: 3.908 states/eV/cell
**Magnetization**: 0.00 μB/f.u.

a b c (Å): 6.3485 6.3485 6.3485
angles (deg): 90.00 90.00 90.00
Last column: nearest neighbours and their distance in Å.
Space group Pm-3m (No. 221)
Inequivalent atoms, fractional coordinates:
1 K 0.0000 0.0000 0.5000 (multiplicity 3)  2 Br 3.17
2 Cd 0.5000 0.5000 0.5000 (multiplicity 1)  12 K 4.49
3 Br 0.0000 0.0000 0.0000 (multiplicity 1)  6 K 3.17

---

5.
VASP calculation (PBE-GGA) on a relaxed YZr2ScH crystal.

**Density of states at the Fermi level**: 6.018 states/eV/cell
**Magnetization**: 0.00 μB/f.u.
**Energy relative to the lowest polymorph listed for this composition**: 0 meV per atom

a b c (Å): 4.5888 4.5888 4.8159
angles (deg): 90.00 90.00 90.00
Last column: nearest neighbours and their distance in Å.
Space group P4/mmm (No. 123)
Inequivalent atoms, fractional coordinates:
1 Y 0.0000 0.0000 0.0000 (multiplicity 1)  2 H 2.41
2 Zr 0.0000 0.5000 0.5000 (multiplicity 2)  2 H 2.29
3 Sc 0.5000 0.5000 0.0000 (multiplicity 1)  4 Y 3.24, 8 Zr 3.33
4 H 0.0000 0.0000 0.5000 (multiplicity 1)  4 Zr 2.29, 2 Y 2.41

---

6.
VASP calculation (PBE-GGA) on a relaxed AcBe2GaAu4 crystal.

**Density of states at the Fermi level**: 12.514 states/eV/cell
**Formation energy from the elements**: -262 meV/atom
**Magnetization**: 0.00 μB/f.u.

a b c (Å): 4.2328 4.2328 29.6164
angles (deg): 90.00 90.00 120.00
Last column: nearest neighbours and their distance in Å.
Space group R-3m (No. 166, hexagonal axes)
Inequivalent atoms, fractional coordinates:
1 Ac 0.0000 0.0000 0.0000 (multiplicity 3)  6 Au 3.22
2 Be 0.0000 0.0000 0.2395 (multiplicity 6)  6 Au 2.54-2.62
3 Ga 0.0000 0.0000 0.5000 (multiplicity 3)  8 Au 2.73-2.84
4 Au 0.0000 0.0000 0.1256 (multiplicity 6)  3 Be 2.62, 3 Ga 2.73
5 Au 0.0000 0.0000 0.4041 (multiplicity 6)  3 Be 2.54, 1 Ga 2.84

---

7.
VASP calculation (PBE-GGA) on a relaxed Gd3CdTc crystal.

**Density of states at the Fermi level**: 5.437 states/eV/cell
**Formation energy from the elements**: 48 meV/atom
**Magnetization**: 21.34 μB/f.u.

a b c (Å): 5.3444 5.3444 5.3444
angles (deg): 90.00 90.00 90.00
Last column: nearest neighbours and their distance in Å.
Space group Pm-3m (No. 221)
Inequivalent atoms, fractional coordinates:
1 Gd 0.0000 0.0000 0.5000 (multiplicity 3)  2 Tc 2.67
2 Cd 0.5000 0.5000 0.5000 (multiplicity 1)  12 Gd 3.78
3 Tc 0.0000 0.0000 0.0000 (multiplicity 1)  6 Gd 2.67

---

8.
VASP calculation (PBE-GGA) on a relaxed Li4TmSi4 crystal.

**Formation energy (no corrections)**: -177.1 meV/atom
**Density of states at the Fermi level**: 6.762 states/eV/cell
**Magnetization**: 0.00 μB/f.u.

a b c (Å): 5.9013 5.9013 8.4838
angles (deg): 90.00 90.00 90.00
Last column: nearest neighbours and their distance in Å.
Space group P4_2/nmc (No. 137, origin choice 2)
Inequivalent atoms, fractional coordinates:
1 Li 0.0072 0.2500 0.1640 (multiplicity 8)  5 Si 2.52-2.57, 2 Li 2.60
2 Tm 0.2500 0.7500 0.2500 (multiplicity 2)  4 Si 2.99
3 Si 0.0485 0.2500 0.4647 (multiplicity 8)  1 Si 2.38, 5 Li 2.52-2.57

---

| no. | E (eV per cell) |
| --- | --- |
| 1 | -189.244 |
| 2 | -15.392 |
| 3 | -110.670 |
| 4 | -8.727 |
| 5 | -33.706 |
| 6 | -89.373 |
| 7 | -53.282 |
| 8 | -70.825 |